Entry 1:
# PBE-GGA TeIrRh2, relaxed
data_TeIrRh2
_chemical_formula_sum 'Te2 Ir2 Rh4'
_space_group_name_H-M_alt 'C m m 2'
_space_group_IT_number 35
_space_group_name_Hall 'C 2 -2'
_cell_length_a 2.877
_cell_length_b 5.007
_cell_length_c 9.393
_cell_angle_alpha 90.00
_cell_angle_beta 90.00
_cell_angle_gamma 90.00
loop_
_atom_site_label
_atom_site_type_symbol
_atom_site_fract_x
_atom_site_fract_y
_atom_site_fract_z
Te1 Te 0.000 0.000 0.000
Ir1 Ir 0.000 0.500 0.267
Rh1 Rh 0.000 0.000 0.504
Rh2 Rh 0.000 0.500 0.745
# ΔE_f (raw) = 0.6001 eV per atom
# Mass density = 12.90 g/cm3


Entry 2:
# PBE-GGA RbAl2SnSe, relaxed
data_RbAl2SnSe
_chemical_formula_sum 'Rb1 Al2 Sn1 Se1'
_space_group_name_H-M_alt 'P 4/m m m'
_space_group_IT_number 123
_space_group_name_Hall '-P 4 2'
_cell_length_a 5.412
_cell_length_b 5.412
_cell_length_c 5.850
_cell_angle_alpha 90.00
_cell_angle_beta 90.00
_cell_angle_gamma 90.00
loop_
_atom_site_label
_atom_site_type_symbol
_atom_site_fract_x
_atom_site_fract_y
_atom_site_fract_z
Rb1 Rb 0.000 0.000 0.000
Al1 Al 0.000 0.500 0.500
Sn1 Sn 0.500 0.500 0.500
Se1 Se 0.500 0.500 0.000
# ΔE_f (raw) = 0.2083 eV per atom
# Mass density = 3.27 g/cm3


Entry 3:
# PBE-GGA Tb2Ho5Er12, relaxed
data_Tb2Ho5Er12
_chemical_formula_sum 'Tb4 Ho10 Er24'
_space_group_name_H-M_alt 'C 1 2/m 1'
_space_group_IT_number 12
_space_group_name_Hall '-C 2y'
_cell_length_a 15.559
_cell_length_b 9.116
_cell_length_c 8.415
_cell_angle_alpha 90.00
_cell_angle_beta 91.23
_cell_angle_gamma 90.00
loop_
_atom_site_label
_atom_site_type_symbol
_atom_site_fract_x
_atom_site_fract_y
_atom_site_fract_z
Tb1 Tb 0.000 0.179 0.000
Ho1 Ho 0.000 0.500 0.500
Ho2 Ho 0.199 0.000 0.011
Ho3 Ho 0.232 0.500 0.575
Er1 Er 0.057 0.000 0.333
Er2 Er 0.090 0.500 0.883
Er3 Er 0.127 0.193 0.660
Er4 Er 0.155 0.319 0.244
# Calculated formation energy = 129.4 meV per atom
# Mass density = 8.77 g/cm3


Entry 4:
# PBE-GGA Sm4YTh3Se8, relaxed
data_Sm4YTh3Se8
_chemical_formula_sum 'Sm12 Y3 Th9 Se24'
_space_group_name_H-M_alt 'R -3 m'
_space_group_IT_number 166
_space_group_name_Hall '-R 3 2"'
_cell_length_a 8.2945
_cell_length_b 8.2945
_cell_length_c 20.7164
_cell_angle_alpha 90.00
_cell_angle_beta 90.00
_cell_angle_gamma 120.00
loop_
_atom_site_label
_atom_site_type_symbol
_atom_site_fract_x
_atom_site_fract_y
_atom_site_fract_z
Sm1 Sm 0.0000 0.0000 0.0000
Sm2 Sm 0.0000 0.5000 0.0000
Y1 Y 0.0000 0.0000 0.5000
Th1 Th 0.0000 0.5000 0.5000
Se1 Se 0.0000 0.0000 0.2521
Se2 Se 0.0057 0.5028 0.2504
# ΔE_f (raw) = -1.6985 eV per atom
# Mass density = 8.15 g/cm3


Entry 5:
# PBE-GGA Tm3CoRh, relaxed
data_Tm3CoRh
_chemical_formula_sum 'Tm6 Co2 Rh2'
_space_group_name_H-M_alt 'P -1'
_space_group_IT_number 2
_space_group_name_Hall '-P 1'
_cell_length_a 6.572
_cell_length_b 6.592
_cell_length_c 7.266
_cell_angle_alpha 63.10
_cell_angle_beta 63.23
_cell_angle_gamma 60.25
loop_
_atom_site_label
_atom_site_type_symbol
_atom_site_fract_x
_atom_site_fract_y
_atom_site_fract_z
Tm1 Tm 0.102 0.259 0.242
Tm2 Tm 0.239 0.103 0.759
Tm3 Tm 0.398 0.601 0.243
Co1 Co 0.177 0.675 0.972
Rh1 Rh 0.327 0.828 0.520
# Calculated formation energy = -430.7 meV per atom
# Mass density = 9.52 g/cm3


Entry 6:
# PBE-GGA KPRhCl2, relaxed
data_KPRhCl2
_chemical_formula_sum 'K1 P1 Rh1 Cl2'
_space_group_name_H-M_alt 'P 4/m m m'
_space_group_IT_number 123
_space_group_name_Hall '-P 4 2'
_cell_length_a 5.442
_cell_length_b 5.442
_cell_length_c 5.666
_cell_angle_alpha 90.00
_cell_angle_beta 90.00
_cell_angle_gamma 90.00
loop_
_atom_site_label
_atom_site_type_symbol
_atom_site_fract_x
_atom_site_fract_y
_atom_site_fract_z
K1 K 0.000 0.000 0.000
P1 P 0.000 0.000 0.500
Rh1 Rh 0.500 0.500 0.500
Cl1 Cl 0.000 0.500 0.000
# ΔE_f (raw) = 1.1324 eV per atom
# Mass density = 2.41 g/cm3


Entry 7:
# PBE-GGA LiCaTc, relaxed
data_LiCaTc
_chemical_formula_sum 'Li4 Ca4 Tc4'
_space_group_name_H-M_alt 'A m m 2'
_space_group_IT_number 38
_space_group_name_Hall 'A 2 -2'
_cell_length_a 5.104
_cell_length_b 3.962
_cell_length_c 12.843
_cell_angle_alpha 90.00
_cell_angle_beta 90.00
_cell_angle_gamma 90.00
loop_
_atom_site_label
_atom_site_type_symbol
_atom_site_fract_x
_atom_site_fract_y
_atom_site_fract_z
Li1 Li 0.000 0.000 0.000
Li2 Li 0.000 0.000 0.369
Ca1 Ca 0.000 0.000 0.713
Ca2 Ca 0.500 0.000 0.532
Tc1 Tc 0.500 0.000 0.252
Tc2 Tc 0.500 0.000 0.850
# Calculated formation energy = 273.3 meV per atom
# Mass density = 3.71 g/cm3


Entry 8:
# PBE-GGA YMg2Cu2, relaxed
data_YMg2Cu2
_chemical_formula_sum 'Y2 Mg4 Cu4'
_space_group_name_H-M_alt 'I 4/m m m'
_space_group_IT_number 139
_space_group_name_Hall '-I 4 2'
_cell_length_a 4.044
_cell_length_b 4.044
_cell_length_c 12.081
_cell_angle_alpha 90.00
_cell_angle_beta 90.00
_cell_angle_gamma 90.00
loop_
_atom_site_label
_atom_site_type_symbol
_atom_site_fract_x
_atom_site_fract_y
_atom_site_fract_z
Y1 Y 0.000 0.000 0.000
Mg1 Mg 0.000 0.500 0.250
Cu1 Cu 0.000 0.000 0.400
# Calculated formation energy = -150.2 meV per atom
# Mass density = 4.45 g/cm3


Entry 9:
# PBE-GGA KNb2W2, relaxed
data_KNb2W2
_chemical_formula_sum 'K2 Nb4 W4'
_space_group_name_H-M_alt 'P 4/m b m'
_space_group_IT_number 127
_space_group_name_Hall '-P 4 2ab'
_cell_length_a 9.005
_cell_length_b 9.005
_cell_length_c 2.615
_cell_angle_alpha 90.00
_cell_angle_beta 90.00
_cell_angle_gamma 90.00
loop_
_atom_site_label
_atom_site_type_symbol
_atom_site_fract_x
_atom_site_fract_y
_atom_site_fract_z
K1 K 0.000 0.000 0.000
Nb1 Nb 0.144 0.356 0.500
W1 W 0.144 0.644 0.000
# Calculated formation energy = 762.0 meV per atom
# Mass density = 9.28 g/cm3


Entry 10:
# PBE-GGA Pm4ZnCdCu2, relaxed
data_Pm4ZnCdCu2
_chemical_formula_sum 'Pm12 Zn3 Cd3 Cu6'
_space_group_name_H-M_alt 'R -3 m'
_space_group_IT_number 166
_space_group_name_Hall '-R 3 2"'
_cell_length_a 5.1794
_cell_length_b 5.1794
_cell_length_c 25.4272
_cell_angle_alpha 90.00
_cell_angle_beta 90.00
_cell_angle_gamma 120.00
loop_
_atom_site_label
_atom_site_type_symbol
_atom_site_fract_x
_atom_site_fract_y
_atom_site_fract_z
Pm1 Pm 0.0000 0.0000 0.1211
Pm2 Pm 0.0000 0.0000 0.3713
Zn1 Zn 0.0000 0.0000 0.0000
Cd1 Cd 0.0000 0.0000 0.5000
Cu1 Cu 0.0000 0.0000 0.2470
# Calculated formation energy = -211.2 meV per atom
# Mass density = 7.46 g/cm3